# 1
VASP calculation (PBE-GGA) on a geometry-optimized Rb2MgRhBr6 structure.

Structure (POSCAR):
```
Rb2MgRhBr6
1.0
-6.426 2.798 -2.731
-1.634 -6.694 -3.015
-6.539 -3.349 1.596
Mg Rh Br Rb
1 1 6 2
Direct
0.500 0.500 0.000
0.000 0.000 0.000
0.244 0.244 0.511
0.756 0.756 0.489
0.244 0.244 0.000
0.756 0.756 0.000
0.756 0.244 0.000
0.244 0.756 0.000
0.750 0.250 0.500
0.250 0.750 0.500
```

Results
Energy relative to the elements, uncorrected (eV per atom): -1.1251
Symmetry: I4/mmm (139)

# 2
VASP calculation (PBE-GGA) on a geometry-optimized Y3In structure.

Structure (POSCAR):
```
Y3In
1.0
5.621 0.000 0.000
0.000 6.898 0.001
0.000 -3.451 5.973
Y In
6 2
Direct
0.750 0.829 0.171
0.750 0.342 0.171
0.750 0.829 0.658
0.250 0.171 0.829
0.250 0.658 0.829
0.250 0.171 0.342
0.250 0.667 0.333
0.750 0.333 0.667
```

Results
Symmetry: P6_3/mmc (194)
E_form (kJ/mol of atoms): -26.33

# 3
VASP calculation (PBE-GGA) on a geometry-optimized SrNpAl4 structure.

Structure (POSCAR):
```
SrNpAl4
1.0
-3.986 0.631 3.990
0.852 -2.070 5.215
0.874 3.539 4.350
Np Sr Al
1 1 4
Direct
0.000 0.000 0.000
0.250 0.250 0.250
0.626 0.626 0.121
0.626 0.121 0.626
0.626 0.626 0.626
0.121 0.626 0.626
```

Results
Symmetry: F-43m (216)
E_form (kJ/mol of atoms): -6.58

# 4
VASP calculation (PBE-GGA) on a geometry-optimized Pr4Sm3Y8 structure.

Structure (POSCAR):
```
Pr4Sm3Y8
1.0
-2.692 -2.801 -5.624
-0.528 -5.863 7.337
-6.266 5.406 4.470
Pr Sm Y
4 3 8
Direct
0.500 0.000 0.000
0.000 0.500 0.000
0.000 0.000 0.000
0.000 0.000 0.500
0.500 0.500 0.000
0.500 0.000 0.500
0.500 0.500 0.500
0.525 0.267 0.267
0.000 0.641 0.359
0.006 0.269 0.269
0.500 0.744 0.256
0.500 0.256 0.744
0.994 0.731 0.731
0.000 0.359 0.641
0.475 0.733 0.733
```

Results
Symmetry: C2/m (12)
E_form (kJ/mol of atoms): 34.07
Relative energy among the computed polymorphs (eV/atom): 0.2314

# 5
VASP calculation (PBE-GGA) on a geometry-optimized NdTh2Ga6 structure.

Structure (POSCAR):
```
NdTh2Ga6
1.0
4.261 0.000 0.000
0.000 6.411 -3.701
0.000 0.000 7.403
Nd Th Ga
1 2 6
Direct
0.000 0.000 0.000
0.000 0.333 0.667
0.000 0.667 0.333
0.500 0.333 0.333
0.500 0.667 0.667
0.500 0.000 0.667
0.500 0.667 0.000
0.500 0.333 0.000
0.500 0.000 0.333
```

Results
Symmetry: P6/mmm (191)
E_form (kJ/mol of atoms): -63.81

# 6
VASP calculation (PBE-GGA) on a geometry-optimized Be2CrTc structure.

Structure (POSCAR):
```
Be2CrTc
1.0
4.446 0.008 -0.010
1.739 4.091 0.010
-2.821 -2.460 2.400
Cr Tc Be
1 1 2
Direct
0.750 0.250 0.500
0.250 0.750 0.500
0.998 0.998 0.000
0.502 0.502 0.000
```

Results
Symmetry: Immm (71)
E_form (kJ/mol of atoms): 0.27
Relative energy among the computed polymorphs (eV/atom): 0.0900